(1)
Below is HoMg9Pt2 after structural relaxation, with properties calculated at the PBE-GGA level.

Lattice parameters (Å, degrees): 9.0258 9.0258 9.0258 99.89 99.89 131.05
Last column: nearest neighbours and their distance in Å.
Atoms (fractional coordinates):
Ho (0.3750, 0.6250, 0.7500)  18 Mg 3.56-3.83
Ho (0.6250, 0.3750, 0.2500)  18 Mg 3.56-3.83
Mg (0.1250, 0.8750, 0.2500)  8 Mg 3.03, 4 Pt 3.05
Mg (0.1335, 0.5656, 0.3247)  2 Pt 2.76-2.80, 6 Mg 2.83-3.07
Mg (0.1335, 0.8088, 0.5679)  2 Pt 2.76-2.80, 6 Mg 2.83-3.07
Mg (0.1912, 0.2591, 0.3247)  2 Pt 2.76-2.80, 6 Mg 2.83-3.07
Mg (0.1912, 0.8665, 0.9321)  2 Pt 2.76-2.80, 6 Mg 2.83-3.07
Mg (0.2591, 0.1912, 0.8247)  2 Pt 2.76-2.80, 6 Mg 2.83-3.07
Mg (0.2591, 0.4344, 0.0679)  2 Pt 2.76-2.80, 6 Mg 2.83-3.07
Mg (0.4344, 0.2591, 0.5679)  2 Pt 2.76-2.80, 6 Mg 2.83-3.07
Mg (0.4344, 0.8665, 0.1753)  2 Pt 2.76-2.80, 6 Mg 2.83-3.07
Mg (0.5656, 0.1335, 0.8247)  2 Pt 2.76-2.80, 6 Mg 2.83-3.07
Mg (0.5656, 0.7409, 0.4321)  2 Pt 2.76-2.80, 6 Mg 2.83-3.07
Mg (0.7409, 0.5656, 0.9321)  2 Pt 2.76-2.80, 6 Mg 2.83-3.07
Mg (0.7409, 0.8088, 0.1753)  2 Pt 2.76-2.80, 6 Mg 2.83-3.07
Mg (0.8088, 0.1335, 0.0679)  2 Pt 2.76-2.80, 6 Mg 2.83-3.07
Mg (0.8088, 0.7409, 0.6753)  2 Pt 2.76-2.80, 6 Mg 2.83-3.07
Mg (0.8665, 0.1912, 0.4321)  2 Pt 2.76-2.80, 6 Mg 2.83-3.07
Mg (0.8665, 0.4344, 0.6753)  2 Pt 2.76-2.80, 6 Mg 2.83-3.07
Mg (0.8750, 0.1250, 0.7500)  8 Mg 3.03, 4 Pt 3.05
Pt (0.0000, 0.0000, 0.0000)  10 Mg 2.76-3.05
Pt (0.0000, 0.0000, 0.5000)  10 Mg 2.76-3.05
Pt (0.0000, 0.5000, 0.0000)  10 Mg 2.76-3.05
Pt (0.5000, 0.0000, 0.5000)  10 Mg 2.76-3.05

E = -70.35 eV per cell
crystal system = tetragonal
density of states at the Fermi level = 18.00 states/eV per cell

***

(2)
Below is Y3Er8 after structural relaxation, with properties calculated at the PBE-GGA level.

Lattice parameters (Å, degrees): 7.6999 7.6999 7.6999 70.70 70.70 70.70
Last column: nearest neighbours and their distance in Å.
Atoms (fractional coordinates):
Y (0.0000, 0.5000, 0.5000)  2 Er 2.98
Y (0.5000, 0.0000, 0.5000)  2 Er 2.98
Y (0.5000, 0.5000, 0.0000)  2 Er 2.98
Er (0.1349, 0.7458, 0.7527)  5 Er 3.22-3.51, 1 Y 3.57
Er (0.2473, 0.8651, 0.2542)  5 Er 3.22-3.51, 1 Y 3.57
Er (0.2542, 0.2473, 0.8651)  5 Er 3.22-3.51, 1 Y 3.57
Er (0.4212, 0.4212, 0.4212)  1 Er 2.71, 3 Y 2.98
Er (0.5788, 0.5788, 0.5788)  1 Er 2.71, 3 Y 2.98
Er (0.7458, 0.7527, 0.1349)  5 Er 3.22-3.51, 1 Y 3.57
Er (0.7527, 0.1349, 0.7458)  5 Er 3.22-3.51, 1 Y 3.57
Er (0.8651, 0.2542, 0.2473)  5 Er 3.22-3.51, 1 Y 3.57

E = -49.41 eV per cell
crystal system = trigonal
density of states at the Fermi level = 13.99 states/eV per cell
offset from the most stable computed form = 0.461 eV/atom

***

(3)
Below is LiTl2Hg after structural relaxation, with properties calculated at the PBE-GGA level.

Lattice parameters (Å, degrees): 5.8302 5.8302 5.8302 133.53 133.53 67.82
Last column: nearest neighbours and their distance in Å.
Atoms (fractional coordinates):
Li (0.0000, 0.0000, 0.0000)  4 Hg 3.25, 8 Tl 3.34
Tl (0.2500, 0.7500, 0.5000)  4 Tl 3.25, 4 Hg 3.34, 4 Li 3.34
Tl (0.7500, 0.2500, 0.5000)  4 Tl 3.25, 4 Hg 3.34, 4 Li 3.34
Hg (0.5000, 0.5000, 0.0000)  4 Li 3.25, 8 Tl 3.34

E = -7.29 eV per cell
crystal system = tetragonal
density of states at the Fermi level = 1.76 states/eV per cell
offset from the most stable computed form = 0.048 eV/atom

***

(4)
Below is NdSmLuRu after structural relaxation, with properties calculated at the PBE-GGA level.

Lattice parameters (Å, degrees): 5.2331 5.2331 5.2331 60.00 60.00 60.00
Last column: nearest neighbours and their distance in Å.
Atoms (fractional coordinates):
Nd (0.0000, 0.0000, 0.0000)  4 Lu 3.20, 4 Ru 3.20
Sm (0.5000, 0.5000, 0.5000)  4 Ru 3.20, 4 Lu 3.20
Lu (0.7500, 0.7500, 0.7500)  4 Sm 3.20, 4 Nd 3.20
Ru (0.2500, 0.2500, 0.2500)  4 Sm 3.20, 4 Nd 3.20

E = -22.69 eV per cell
crystal system = cubic
density of states at the Fermi level = 5.51 states/eV per cell

***

(5)
Below is TaHSe2 after structural relaxation, with properties calculated at the PBE-GGA level.

Lattice parameters (Å, degrees): 7.1548 7.1548 7.1548 28.52 28.52 28.52
Last column: nearest neighbours and their distance in Å.
Atoms (fractional coordinates):
Ta (0.0000, 0.0000, 0.0000)  6 Se 2.61
H (0.5000, 0.5000, 0.5000)  2 Se 1.79
Se (0.4132, 0.4132, 0.4132)  1 H 1.79
Se (0.5868, 0.5868, 0.5868)  1 H 1.79

E = -23.50 eV per cell
crystal system = trigonal
density of states at the Fermi level = 0.42 states/eV per cell
offset from the most stable computed form = 0.424 eV/atom

***

(6)
Below is Ba3CN after structural relaxation, with properties calculated at the PBE-GGA level.

Lattice parameters (Å, degrees): 5.4056 5.4056 5.4056 90.00 90.00 90.00
Last column: nearest neighbours and their distance in Å.
Atoms (fractional coordinates):
Ba (0.0000, 0.0000, 0.5000)  2 N 2.70
Ba (0.0000, 0.5000, 0.0000)  2 N 2.70
Ba (0.5000, 0.0000, 0.0000)  2 N 2.70
C (0.5000, 0.5000, 0.5000)  12 Ba 3.82
N (0.0000, 0.0000, 0.0000)  6 Ba 2.70

E = -20.05 eV per cell
crystal system = cubic
density of states at the Fermi level = 4.66 states/eV per cell
offset from the most stable computed form = 0.000 eV/atom

***

(7)
Below is BaTe3As after structural relaxation, with properties calculated at the PBE-GGA level.

Lattice parameters (Å, degrees): 8.7746 4.3127 9.6809 90.00 104.53 90.00
Last column: nearest neighbours and their distance in Å.
Atoms (fractional coordinates):
Ba (0.1948, 0.2500, 0.2887)  8 Te 3.50-3.60
Ba (0.8052, 0.7500, 0.7113)  8 Te 3.50-3.60
Te (0.1081, 0.2500, 0.9151)  2 As 2.88
Te (0.1453, 0.7500, 0.5724)  1 As 2.93
Te (0.4681, 0.7500, 0.1743)  3 As 2.88-3.02
Te (0.5319, 0.2500, 0.8257)  3 As 2.88-3.02
Te (0.8547, 0.2500, 0.4276)  1 As 2.93
Te (0.8919, 0.7500, 0.0849)  2 As 2.88
As (0.3110, 0.7500, 0.8752)  6 Te 2.88-3.02
As (0.6890, 0.2500, 0.1248)  6 Te 2.88-3.02

E = -37.68 eV per cell
crystal system = monoclinic
density of states at the Fermi level = 4.43 states/eV per cell

***

(8)
Below is La2Sm6Er3Tl after structural relaxation, with properties calculated at the PBE-GGA level.

Lattice parameters (Å, degrees): 6.1804 6.1804 11.9060 94.98 94.98 120.04
Last column: nearest neighbours and their distance in Å.
Atoms (fractional coordinates):
La (0.1664, 0.8336, 0.0000)  3 La 3.56-3.57, 3 Tl 3.57, 6 Sm 3.63-3.64
La (0.8336, 0.1664, 0.0000)  3 La 3.56-3.57, 3 Tl 3.57, 6 Sm 3.63-3.64
Sm (0.0897, 0.4158, 0.7461)  6 Sm 3.49-3.61, 3 Er 3.53-3.57, 1 Tl 3.59, 2 La 3.63-3.64
Sm (0.2584, 0.2584, 0.2546)  6 Sm 3.49-3.61, 3 Er 3.53-3.56, 1 Tl 3.60, 2 La 3.64
Sm (0.4158, 0.0897, 0.7461)  6 Sm 3.49-3.61, 3 Er 3.53-3.57, 1 Tl 3.59, 2 La 3.63-3.64
Sm (0.5842, 0.9103, 0.2539)  6 Sm 3.49-3.61, 3 Er 3.53-3.57, 1 Tl 3.59, 2 La 3.63-3.64
Sm (0.7416, 0.7416, 0.7454)  6 Sm 3.49-3.61, 3 Er 3.53-3.56, 1 Tl 3.60, 2 La 3.64
Sm (0.9103, 0.5842, 0.2539)  6 Sm 3.49-3.61, 3 Er 3.53-3.57, 1 Tl 3.59, 2 La 3.63-3.64
Er (0.0000, 0.0000, 0.5000)  6 Sm 3.53-3.56, 6 Er 3.56-3.57
Er (0.3327, 0.6673, 0.5000)  6 Sm 3.53-3.57, 6 Er 3.56-3.58
Er (0.6673, 0.3327, 0.5000)  6 Sm 3.53-3.57, 6 Er 3.56-3.58
Tl (0.5000, 0.5000, 0.0000)  6 La 3.57, 6 Sm 3.59-3.60

E = -54.67 eV per cell
crystal system = monoclinic
density of states at the Fermi level = 15.31 states/eV per cell

***

(9)
Below is AgHRu2 after structural relaxation, with properties calculated at the PBE-GGA level.

Lattice parameters (Å, degrees): 5.0693 5.0693 5.0693 106.64 106.64 115.29
Last column: nearest neighbours and their distance in Å.
Atoms (fractional coordinates):
Ag (0.0000, 0.0000, 0.0000)  8 Ru 2.67-2.75, 2 H 2.71
Ag (0.7500, 0.2500, 0.5000)  8 Ru 2.67-2.75, 2 H 2.71
H (0.2500, 0.7500, 0.5000)  4 Ru 1.86
H (0.5000, 0.5000, 0.0000)  4 Ru 1.86
Ru (0.2375, 0.6250, 0.1125)  2 H 1.86
Ru (0.3750, 0.4875, 0.6125)  2 H 1.86
Ru (0.5125, 0.1250, 0.8875)  2 H 1.86
Ru (0.8750, 0.7625, 0.3875)  2 H 1.86

E = -44.44 eV per cell
crystal system = tetragonal
density of states at the Fermi level = 2.54 states/eV per cell
offset from the most stable computed form = 0.000 eV/atom

***

(10)
Below is PrHg3Au2 after structural relaxation, with properties calculated at the PBE-GGA level.

Lattice parameters (Å, degrees): 9.3792 9.3792 7.9107 114.70 114.70 27.45
Last column: nearest neighbours and their distance in Å.
Atoms (fractional coordinates):
Pr (0.1166, 0.1166, 0.0436)  7 Au 3.19-3.38, 4 Hg 3.39-3.45
Pr (0.8834, 0.8834, 0.9564)  7 Au 3.19-3.38, 4 Hg 3.39-3.45
Hg (0.0719, 0.0719, 0.4427)  2 Au 2.88, 5 Hg 3.02-3.22
Hg (0.3068, 0.3068, 0.5884)  2 Au 2.88-2.95, 4 Hg 2.95-3.22
Hg (0.3765, 0.3765, 0.2723)  4 Au 2.89-3.09, 2 Hg 3.02
Hg (0.6235, 0.6235, 0.7277)  4 Au 2.89-3.09, 2 Hg 3.02
Hg (0.6932, 0.6932, 0.4116)  2 Au 2.88-2.95, 4 Hg 2.95-3.22
Hg (0.9281, 0.9281, 0.5573)  2 Au 2.88, 5 Hg 3.02-3.22
Au (0.2433, 0.2433, 0.8643)  4 Hg 2.88-3.09, 2 Au 3.03, 1 Pr 3.19
Au (0.4845, 0.4845, 0.8131)  1 Au 2.76, 4 Hg 2.88-2.95
Au (0.5155, 0.5155, 0.1869)  1 Au 2.76, 4 Hg 2.88-2.95
Au (0.7567, 0.7567, 0.1357)  4 Hg 2.88-3.09, 2 Au 3.03, 1 Pr 3.19

E = -28.46 eV per cell
crystal system = monoclinic
density of states at the Fermi level = 4.82 states/eV per cell

***

Which value of E does entry 5 give?
-23.50 eV per cell

***

What did the seventh record say?
Below is BaTe3As after structural relaxation, with properties calculated at the PBE-GGA level.

Lattice parameters (Å, degrees): 8.7746 4.3127 9.6809 90.00 104.53 90.00
Last column: nearest neighbours and their distance in Å.
Atoms (fractional coordinates):
Ba (0.1948, 0.2500, 0.2887)  8 Te 3.50-3.60
Ba (0.8052, 0.7500, 0.7113)  8 Te 3.50-3.60
Te (0.1081, 0.2500, 0.9151)  2 As 2.88
Te (0.1453, 0.7500, 0.5724)  1 As 2.93
Te (0.4681, 0.7500, 0.1743)  3 As 2.88-3.02
Te (0.5319, 0.2500, 0.8257)  3 As 2.88-3.02
Te (0.8547, 0.2500, 0.4276)  1 As 2.93
Te (0.8919, 0.7500, 0.0849)  2 As 2.88
As (0.3110, 0.7500, 0.8752)  6 Te 2.88-3.02
As (0.6890, 0.2500, 0.1248)  6 Te 2.88-3.02

E = -37.68 eV per cell
crystal system = monoclinic
density of states at the Fermi level = 4.43 states/eV per cell

***

Which of these has the highest density of states at the Fermi level?
HoMg9Pt2

***

What did the fourth record say?
Below is NdSmLuRu after structural relaxation, with properties calculated at the PBE-GGA level.

Lattice parameters (Å, degrees): 5.2331 5.2331 5.2331 60.00 60.00 60.00
Last column: nearest neighbours and their distance in Å.
Atoms (fractional coordinates):
Nd (0.0000, 0.0000, 0.0000)  4 Lu 3.20, 4 Ru 3.20
Sm (0.5000, 0.5000, 0.5000)  4 Ru 3.20, 4 Lu 3.20
Lu (0.7500, 0.7500, 0.7500)  4 Sm 3.20, 4 Nd 3.20
Ru (0.2500, 0.2500, 0.2500)  4 Sm 3.20, 4 Nd 3.20

E = -22.69 eV per cell
crystal system = cubic
density of states at the Fermi level = 5.51 states/eV per cell